Arrangement 1

Hg4AuI (PBE-GGA, relaxed); D(E_F) = 1.2 states/eV/f.u.; space-group type = P2_1/c
1.0
6.810 0.000 0.000
0.000 10.741 -2.678
0.000 0.108 12.582
Hg Au I
16 4 4
Cartesian
3.722 4.072 9.284
0.317 1.406 1.960
3.088 6.776 0.621
6.493 9.443 7.945
6.568 3.094 9.676
3.163 2.384 1.567
0.242 7.754 0.228
3.647 8.465 8.337
1.483 5.916 7.119
4.888 10.303 1.446
5.327 4.933 2.785
1.922 0.545 8.458
3.502 8.143 4.307
0.097 8.076 4.258
3.308 2.705 5.597
6.713 2.773 5.646
1.760 8.575 6.362
5.165 7.643 2.203
5.050 2.273 3.542
1.645 3.205 7.701
5.232 6.654 10.221
1.827 9.565 -1.656
1.577 4.194 -0.317
4.982 1.284 11.560

Arrangement 2

Hg4AuI (PBE-GGA, relaxed); D(E_F) = 1.7 states/eV/f.u.; space-group type = C2/m
1.0
6.794 0.000 0.701
0.000 8.849 0.000
-1.069 -4.424 6.062
Hg Au I
8 2 2
Cartesian
1.184 4.424 3.356
1.852 -1.938 4.661
0.000 2.533 0.000
3.872 2.486 2.102
4.541 0.000 3.407
3.872 6.363 2.102
0.000 6.316 0.000
1.852 1.938 4.661
2.038 4.424 0.687
3.687 0.000 6.076
4.957 4.424 4.803
0.768 0.000 1.960

Quick one: most stable of them? arrangement 1

Arrangement 1

Hg4AuI2 (PBE-GGA, relaxed); D(E_F) = 2.9 states/eV/f.u.; space-group type = I4/mmm
1.0
-3.058 -3.846 -2.497
2.569 -3.924 2.896
-5.441 4.547 5.743
I Au Hg
2 1 4
Cartesian
-2.172 -3.660 2.213
-3.759 0.438 3.928
0.000 0.000 0.000
-4.093 -3.436 4.222
-1.837 0.214 1.920
1.285 -1.962 1.448
-1.529 -1.923 -1.249

Arrangement 2

Hg4AuI2 (PBE-GGA, relaxed); D(E_F) = 1.5 states/eV/f.u.; space-group type = P-1
1.0
-2.218 3.489 -1.504
-1.023 -3.211 -5.811
-4.695 -2.371 7.860
I Au Hg
2 1 4
Cartesian
-4.877 0.352 1.581
-3.059 -2.445 -1.036
0.000 0.000 0.000
-6.059 -1.715 -1.351
-1.877 -0.378 1.897
-6.091 -1.531 5.435
-1.845 -0.562 -4.890

Quick one: most stable of them? arrangement 1

Arrangement 1

HgAuIN2 (PBE-GGA, relaxed); D(E_F) = 2.1 states/eV/f.u.; space-group type = P4/mmm
1.0
-2.235 -1.468 3.181
2.440 -3.360 0.164
5.002 3.890 5.310
I Au Hg N
1 1 1 2
Cartesian
2.501 1.945 2.655
0.000 0.000 0.000
2.603 -0.469 4.328
1.220 -1.680 0.082
-1.118 -0.734 1.590

Arrangement 2

HgAuIN2 (PBE-GGA, relaxed); D(E_F) = 0.6 states/eV/f.u.; space-group type = P4/mmm
1.0
-0.215 1.961 3.721
-4.206 -0.121 -0.179
0.046 -7.373 3.888
I Au Hg N
1 1 1 2
Cartesian
0.023 -3.686 1.944
-2.188 -2.766 3.715
0.000 0.000 0.000
-2.103 -0.060 -0.090
-0.107 0.980 1.861

Quick one: most stable of them? arrangement 1

Arrangement 1

HgAuIO2 (PBE-GGA, relaxed); D(E_F) = 2.5 states/eV/f.u.; space-group type = P4/mmm
1.0
-3.460 1.735 1.356
-1.488 -3.704 0.944
2.888 0.542 6.677
I Au Hg O
1 1 1 2
Cartesian
1.444 0.271 3.338
0.000 0.000 0.000
-1.030 -0.713 4.488
-0.744 -1.852 0.472
-1.730 0.868 0.678

Arrangement 2

HgAuIO2 (PBE-GGA, relaxed); D(E_F) = 5.6 states/eV/f.u.; space-group type = P4/mmm
1.0
-0.085 3.790 -1.615
-4.086 0.126 0.511
0.974 3.023 7.043
I Au Hg O
1 1 1 2
Cartesian
0.487 1.512 3.521
-1.599 3.469 2.969
0.000 0.000 0.000
-2.043 0.063 0.255
-0.043 1.895 -0.807

Quick one: most stable of them? arrangement 1

Arrangement 1

Rb2HgAuI6 (PBE-GGA, relaxed); D(E_F) = 3.4 states/eV/f.u.; space-group type = P-1
1.0
9.683 0.978 0.672
5.673 7.627 0.791
5.645 3.286 7.218
Rb Hg Au I
2 1 1 6
Cartesian
10.844 5.842 3.276
5.093 3.223 5.611
15.647 8.836 5.174
5.145 2.890 0.834
8.453 2.827 2.874
3.394 1.641 2.598
4.921 5.259 2.276
12.542 7.424 6.289
11.015 3.806 6.612
7.483 6.240 6.013

Arrangement 2

Rb2HgAuI6 (PBE-GGA, relaxed); D(E_F) = 7.3 states/eV/f.u.; space-group type = I4/mmm
1.0
-5.334 1.911 -6.386
-5.818 -5.325 3.267
-7.880 2.822 1.720
I Au Hg Rb
6 1 1 2
Cartesian
-6.829 0.756 0.224
-12.203 -1.348 -1.623
-3.008 -0.921 -0.841
-8.144 -2.493 -2.277
-5.465 -0.041 -3.782
-5.688 -3.373 0.663
-5.576 -1.707 -1.559
0.000 0.000 0.000
-9.395 1.513 -3.113
-9.637 -2.105 1.714

Quick one: most stable of them? arrangement 1

Arrangement 1

RbHg2AuI (PBE-GGA, relaxed); D(E_F) = 2.3 states/eV/f.u.; space-group type = P4/mmm
1.0
-0.479 5.312 0.687
-2.287 0.421 -4.849
-6.678 -0.999 3.063
I Au Hg Rb
1 1 2 1
Cartesian
-3.339 -0.499 1.531
0.000 0.000 0.000
-1.143 0.210 -2.424
-0.240 2.656 0.343
-4.722 2.367 -0.549

Arrangement 2

RbHg2AuI (PBE-GGA, relaxed); D(E_F) = 2.8 states/eV/f.u.; space-group type = P4/mmm
1.0
-1.239 2.220 -4.786
1.096 -4.700 -2.464
-6.572 -1.950 0.797
I Au Hg Rb
1 1 2 1
Cartesian
-3.358 -2.215 -3.226
0.000 0.000 0.000
0.548 -2.350 -1.232
-0.619 1.110 -2.393
-3.286 -0.975 0.398

Quick one: most stable of them? arrangement 2

Arrangement 1

InHgAu3 (PBE-GGA, relaxed); D(E_F) = 1.3 states/eV/f.u.; space-group type = Cmcm
1.0
4.253 0.000 0.000
0.000 3.528 0.000
0.000 -1.764 14.402
In Hg Au
2 2 6
Cartesian
1.063 1.764 8.380
3.190 0.000 6.022
1.063 0.000 2.091
3.190 1.764 12.310
1.063 0.000 10.791
3.190 1.764 3.611
1.063 0.000 13.525
3.190 1.764 0.877
3.190 0.000 8.891
1.063 1.764 5.511

Arrangement 2

InHgAu3 (PBE-GGA, relaxed); D(E_F) = 2.1 states/eV/f.u.; space-group type = Pm-3m
1.0
5.259 0.000 0.000
0.000 5.259 0.000
0.000 0.000 5.259
Au Hg In
3 1 1
Cartesian
0.000 2.630 0.000
0.000 0.000 2.630
2.630 0.000 0.000
2.630 2.630 2.630
0.000 0.000 0.000

Arrangement 3

InHgAu3 (PBE-GGA, relaxed); D(E_F) = 1.3 states/eV/f.u.; space-group type = P2_1/m
1.0
-0.237 -1.147 -5.309
-4.671 -3.100 0.879
-3.869 5.783 -0.161
In Hg Au
2 2 6
Cartesian
-2.880 0.654 -3.839
-5.897 0.881 -0.752
-4.066 -1.582 0.289
-4.711 3.117 -4.880
-6.582 1.082 -3.683
-2.454 -2.124 -2.215
-0.119 -0.574 -2.655
-2.195 0.453 -0.909
-3.757 2.550 -1.814
-5.020 -1.015 -2.778

Quick one: most stable of them? arrangement 3

Arrangement 1

K2InHgAu (PBE-GGA, relaxed); D(E_F) = 4.8 states/eV/f.u.; space-group type = P4/mmm
1.0
6.422 0.000 0.000
0.000 6.422 0.000
0.000 0.000 5.212
K Au Hg In
2 1 1 1
Cartesian
0.000 3.211 0.000
3.211 0.000 0.000
0.000 0.000 0.000
3.211 3.211 2.606
0.000 0.000 2.606

Arrangement 2

K2InHgAu (PBE-GGA, relaxed); D(E_F) = 3.5 states/eV/f.u.; space-group type = P4/nmm
1.0
4.888 0.000 0.000
0.000 4.888 0.000
0.000 0.000 14.705
K In Hg Au
4 2 2 2
Cartesian
0.000 2.444 10.042
0.000 2.444 2.355
2.444 0.000 12.350
2.444 0.000 4.663
0.000 0.000 7.352
2.444 2.444 7.352
2.444 0.000 1.016
0.000 2.444 13.689
2.444 0.000 8.819
0.000 2.444 5.886

Quick one: most stable of them? arrangement 2